[1]
A relaxed structure of TaOsPdBr2. Source: the Alexandria database, functional PBE.

Uncorrected formation energy ... 8.34 eV/f.u.

```
TaOsPdBr2
1.0
-1.782 3.840 2.335
-3.572 -2.914 2.066
2.918 -0.922 3.743
Br Ta Os Pd
2 1 1 1
Cartesian
-0.891 1.920 1.167 Br
1.459 -0.461 1.872 Br
-1.218 0.002 4.072 Ta
0.000 0.000 0.000 Os
-1.786 -1.457 1.033 Pd
```

=====

[2]
A relaxed structure of ZnOs2PdBr. Source: the Alexandria database, functional PBE.

Uncorrected formation energy ... 10.70 eV/f.u.

```
ZnOs2PdBr
1.0
-0.370 4.743 -1.322
-3.344 0.722 3.528
3.599 1.165 3.173
Os Zn Br Pd
2 1 1 1
Cartesian
-0.185 2.371 -0.661 Os
1.799 0.582 1.586 Os
-0.057 3.315 2.689 Zn
-1.672 0.361 1.764 Br
0.000 0.000 0.000 Pd
```

=====

[3]
A relaxed structure of Pm2OsBr. Source: the Alexandria database, functional PBE.

Uncorrected formation energy ... -2.63 eV/f.u.
ΔE to the lowest computed polymorph ... 0 meV/atom

```
Pm2OsBr
1.0
-0.147 -2.343 2.530
3.030 1.121 1.214
-3.965 5.477 4.843
Pm Br Os
2 1 1
Cartesian
-0.830 1.147 1.014 Pm
-3.135 4.330 3.829 Pm
-0.541 2.127 4.293 Br
1.442 -0.611 1.872 Os
```